[1]
A relaxed K3Pu2NpS6 crystal, computed with PBE.

Geometry as POSCAR:
```
K3Pu2NpS6
1.0
7.1558 -0.0011 0.0004
-3.5771 6.1975 0.0004
-1.1933 -2.0661 7.3291
K Pu Np S
3 2 1 6
direct
0.1675 0.8325 0.5000
0.8325 0.1675 0.5000
0.5000 0.5000 0.5000
0.3334 0.6666 0.0000
0.6666 0.3334 0.0000
0.0000 0.0000 0.0000
0.9330 0.6020 0.7988
0.7362 0.7362 0.2013
0.0670 0.3980 0.2012
0.6020 0.9330 0.7988
0.2638 0.2638 0.7987
0.3980 0.0670 0.2012
```

Computed properties:
**Spin magnetization**: 0.558 μB/atom
**ΔE_f (raw)**: -1.497 eV per atom
**VASP energy**: -7.3022 eV per atom

[2]
A relaxed K2PuNpS4 crystal, computed with PBE.

Geometry as POSCAR:
```
K2PuNpS4
1.0
-1.7408 3.0548 -2.1092
-4.3496 1.2954 5.4660
6.3367 4.2719 0.9572
K Pu Np S
2 1 1 4
direct
0.5000 0.0000 0.5000
0.0000 0.5000 0.5000
0.0000 0.0000 0.0000
0.5000 0.5000 0.0000
0.5000 0.2369 0.1999
0.5000 0.7631 0.8001
0.0000 0.2700 0.8003
0.0000 0.7300 0.1997
```

Computed properties:
**Spin magnetization**: 1.125 μB/atom
**ΔE_f (raw)**: -1.510 eV per atom
**VASP energy**: -7.2577 eV per atom

[3]
A relaxed K3PuNp2S6 crystal, computed with PBE.

Geometry as POSCAR:
```
K3PuNp2S6
1.0
-7.0753 0.3653 -0.3674
3.2053 -0.4546 6.3125
1.6503 7.3507 -1.6377
K Pu Np S
3 1 2 6
direct
0.1656 0.8344 0.5000
0.8344 0.1656 0.5000
0.5000 0.5000 0.5000
0.0000 0.0000 0.0000
0.3332 0.6668 0.0000
0.6668 0.3332 0.0000
0.9333 0.5962 0.8000
0.7295 0.7295 0.1999
0.0667 0.4038 0.2000
0.5962 0.9333 0.8000
0.2705 0.2705 0.8001
0.4038 0.0667 0.2000
```

Computed properties:
**Spin magnetization**: 1.083 μB/atom
**ΔE_f (raw)**: -1.477 eV per atom
**VASP energy**: -7.1665 eV per atom

[4]
A relaxed K2Pu2NpS6 crystal, computed with PBE.

Geometry as POSCAR:
```
K2Pu2NpS6
1.0
-4.0766 -4.4996 -3.4992
6.6316 1.0054 -2.0298
1.3627 -4.3467 6.3542
K Pu Np S
2 2 1 6
direct
0.8321 0.1679 0.0000
0.1679 0.8321 0.0000
0.3342 0.6658 0.5000
0.6658 0.3342 0.5000
0.0000 0.0000 0.5000
0.7386 0.7386 0.6924
0.0618 0.3928 0.6919
0.2614 0.2614 0.3076
0.3928 0.0618 0.6919
0.9382 0.6072 0.3081
0.6072 0.9382 0.3081
```

Computed properties:
**Spin magnetization**: 1.182 μB/atom
**ΔE_f (raw)**: -1.542 eV per atom
**VASP energy**: -7.7756 eV per atom

[5]
A relaxed K2PuNpSe4 crystal, computed with PBE.

Geometry as POSCAR:
```
K2PuNpSe4
1.0
4.2716 0.0000 0.0000
0.0000 7.3999 0.1074
0.0000 -2.5760 7.6065
K Pu Np Se
2 1 1 4
direct
0.5000 0.0000 0.5000
0.0000 0.5000 0.5000
0.0000 0.0000 0.0000
0.5000 0.5000 0.0000
0.5000 0.2382 0.2048
0.5000 0.7618 0.7952
0.0000 0.2682 0.7953
0.0000 0.7318 0.2047
```

Computed properties:
**Spin magnetization**: 1.125 μB/atom
**ΔE_f (raw)**: -1.376 eV per atom
**VASP energy**: -6.8022 eV per atom

[6]
A relaxed K3PuNp3Se8 crystal, computed with PBE.

Geometry as POSCAR:
```
K3PuNp3Se8
1.0
8.4824 0.0000 -0.0001
-4.2412 7.3458 -0.0328
-0.0002 -4.8644 7.7438
K Pu Np Se
3 1 3 8
direct
0.0000 0.0000 0.0000
0.0000 0.5000 0.0000
0.5000 0.5000 0.0000
0.0000 0.0000 0.5000
0.5000 0.0000 0.5000
0.5000 0.5000 0.5000
0.0000 0.5000 0.5000
0.2655 0.5311 0.2967
0.7345 0.4689 0.7033
0.7636 0.5272 0.2991
0.2364 0.4728 0.7009
0.7637 0.0355 0.2991
0.2363 0.9645 0.7009
0.2718 0.0354 0.2991
0.7282 0.9646 0.7009
```

Computed properties:
**Spin magnetization**: 0.391 μB/atom
**ΔE_f (raw)**: -1.275 eV per atom
**VASP energy**: -6.8964 eV per atom

[7]
A relaxed K3Pu3NpSe8 crystal, computed with PBE.

Geometry as POSCAR:
```
K3Pu3NpSe8
1.0
8.4625 0.0001 0.0000
-4.2311 7.3290 -0.0287
-0.0001 -4.8582 7.7535
K Pu Np Se
3 3 1 8
direct
0.0000 0.0000 0.0000
0.0000 0.5000 0.0000
0.5000 0.5000 0.0000
0.5000 0.0000 0.5000
0.5000 0.5000 0.5000
0.0000 0.5000 0.5000
0.0000 0.0000 0.5000
0.2655 0.5310 0.2965
0.7345 0.4690 0.7035
0.7696 0.5392 0.3017
0.2304 0.4608 0.6983
0.7696 0.0320 0.3017
0.2304 0.9680 0.6983
0.2624 0.0320 0.3017
0.7376 0.9680 0.6983
```

Computed properties:
**Spin magnetization**: 1.200 μB/atom
**ΔE_f (raw)**: -1.410 eV per atom
**VASP energy**: -7.2174 eV per atom

[8]
A relaxed K4PuNp3Se8 crystal, computed with PBE.

Geometry as POSCAR:
```
K4PuNp3Se8
1.0
8.5837 0.0000 0.0000
0.0000 12.4961 -0.7119
-4.2919 -5.6188 4.8669
K Pu Np Se
4 1 3 8
direct
0.5000 0.0000 0.0000
0.5000 0.0000 0.5000
0.0000 0.0000 0.0000
0.0000 0.0000 0.5000
0.0000 0.5000 0.0000
0.5000 0.5000 0.0000
0.5000 0.5000 0.5000
0.0000 0.5000 0.5000
0.4749 0.7063 0.4438
0.4690 0.7034 0.9379
0.0311 0.2936 0.0622
0.9689 0.7063 0.4438
0.0311 0.2937 0.5562
0.9689 0.7064 0.9378
0.5310 0.2966 0.0621
0.5251 0.2937 0.5562
```

Computed properties:
**Spin magnetization**: 0.398 μB/atom
**ΔE_f (raw)**: -1.296 eV per atom
**VASP energy**: -6.6349 eV per atom

[9]
A relaxed K3PuNp2Se6 crystal, computed with PBE.

Geometry as POSCAR:
```
K3PuNp2Se6
1.0
-5.9096 3.3331 2.9389
-0.8938 -5.5117 -4.8469
2.2754 -4.3282 6.3827
K Pu Np Se
3 1 2 6
direct
0.1656 0.8344 0.5000
0.8344 0.1656 0.5000
0.5000 0.5000 0.5000
0.0000 0.0000 0.0000
0.3333 0.6667 0.0000
0.6667 0.3333 0.0000
0.9316 0.5950 0.7949
0.7316 0.7316 0.2048
0.0684 0.4050 0.2051
0.5950 0.9316 0.7949
0.2684 0.2684 0.7952
0.4050 0.0684 0.2051
```

Computed properties:
**Spin magnetization**: 1.083 μB/atom
**ΔE_f (raw)**: -1.341 eV per atom
**VASP energy**: -6.7087 eV per atom

[10]
A relaxed K4Pu3NpSe8 crystal, computed with PBE.

Geometry as POSCAR:
```
K4Pu3NpSe8
1.0
8.5593 0.0000 0.0000
0.0000 9.0849 0.3659
-4.2796 -4.2758 6.0549
K Pu Np Se
4 3 1 8
direct
0.5000 0.0000 0.0000
0.5000 0.0000 0.5000
0.0000 0.0000 0.0000
0.0000 0.0000 0.5000
0.5000 0.5000 0.0000
0.5000 0.5000 0.5000
0.0000 0.5000 0.5000
0.0000 0.5000 0.0000
0.2332 0.7044 0.9712
0.2332 0.7044 0.4665
0.2652 0.2957 0.5305
0.7380 0.7044 0.9712
0.2620 0.2956 0.0288
0.7348 0.7043 0.4695
0.7668 0.2956 0.5335
0.7668 0.2956 0.0288
```

Computed properties:
**Spin magnetization**: 1.188 μB/atom
**ΔE_f (raw)**: -1.429 eV per atom
**VASP energy**: -6.9421 eV per atom

[11]
A relaxed K3PuNp3Te8 crystal, computed with PBE.

Geometry as POSCAR:
```
K3PuNp3Te8
1.0
9.0495 -0.0001 -0.0020
-4.5248 7.8369 -0.0288
-0.0007 -5.1930 8.2790
K Pu Np Te
3 1 3 8
direct
0.0000 0.0000 0.0000
0.0000 0.5000 0.0000
0.5000 0.5000 0.0000
0.0000 0.0000 0.5000
0.5000 0.0000 0.5000
0.5000 0.5000 0.5000
0.0000 0.5000 0.5000
0.2639 0.5279 0.2917
0.7361 0.4721 0.7083
0.7610 0.5221 0.2929
0.2390 0.4779 0.7071
0.7609 0.0319 0.2928
0.2391 0.9681 0.7072
0.2708 0.0319 0.2929
0.7292 0.9681 0.7071
```

Computed properties:
**Spin magnetization**: 0.392 μB/atom
**ΔE_f (raw)**: -0.879 eV per atom
**VASP energy**: -6.3181 eV per atom

[12]
A relaxed K3Pu2NpTe6 crystal, computed with PBE.

Geometry as POSCAR:
```
K3Pu2NpTe6
1.0
-5.3391 0.1187 5.8412
7.5223 -1.9094 1.5523
0.9812 8.4694 -1.0626
K Pu Np Te
3 2 1 6
direct
0.1673 0.8327 0.5000
0.8327 0.1673 0.5000
0.5000 0.5000 0.5000
0.3334 0.6666 0.0000
0.6666 0.3334 0.0000
0.0000 0.0000 0.0000
0.9304 0.6000 0.7912
0.7393 0.7393 0.2089
0.0696 0.4000 0.2088
0.6000 0.9304 0.7912
0.2607 0.2607 0.7911
0.4000 0.0696 0.2088
```

Computed properties:
**Spin magnetization**: 1.167 μB/atom
**ΔE_f (raw)**: -1.051 eV per atom
**VASP energy**: -6.3635 eV per atom

[13]
A relaxed KRbNp4S8 crystal, computed with PBE.

Geometry as POSCAR:
```
KRbNp4S8
1.0
-2.0671 -6.2853 -4.8190
5.2800 -2.7646 -5.6107
3.8216 -7.6601 1.3998
K Rb Np S
1 1 4 8
direct
0.0017 0.0017 0.9950
0.3668 0.3668 0.8996
0.6217 0.6217 0.1348
0.0012 0.4962 0.5015
0.4962 0.0012 0.5015
0.0012 0.0012 0.5015
0.2537 0.8071 0.6855
0.8071 0.2537 0.6855
0.2537 0.2537 0.6855
0.2274 0.2274 0.3177
0.7422 0.2268 0.2889
0.2268 0.7422 0.2889
0.7422 0.7422 0.2889
0.7583 0.7583 0.7251
```

Computed properties:
**Spin magnetization**: 1.000 μB/atom
**ΔE_f (raw)**: -1.207 eV per atom
**VASP energy**: -7.4100 eV per atom

[14]
A relaxed KRb3Np2S6 crystal, computed with PBE.

Geometry as POSCAR:
```
KRb3Np2S6
1.0
-0.4588 1.9091 3.6689
-8.9859 -2.0215 -0.0719
4.7566 -8.3355 2.5724
K Rb Np S
1 3 2 6
direct
0.5000 0.0000 0.0000
0.5000 0.5000 0.0000
0.8450 0.1637 0.6901
0.1550 0.8363 0.3099
0.8296 0.6636 0.6593
0.1704 0.3364 0.3407
0.3258 0.8537 0.6516
0.6818 0.5445 0.3636
0.6742 0.1463 0.3484
0.0331 0.2646 0.0662
0.9669 0.7354 0.9338
0.3182 0.4555 0.6364
```

Computed properties:
**Spin magnetization**: 0.500 μB/atom
**ΔE_f (raw)**: -1.313 eV per atom
**VASP energy**: -5.8664 eV per atom

[15]
A relaxed KRb3Np2Se6 crystal, computed with PBE.

Geometry as POSCAR:
```
KRb3Np2Se6
1.0
4.3362 0.0000 0.0000
0.0000 9.5915 0.0845
-2.1681 -3.0293 9.6412
K Rb Np Se
1 3 2 6
direct
0.5000 0.0000 0.0000
0.5000 0.5000 0.0000
0.8451 0.1633 0.6901
0.1549 0.8367 0.3099
0.8300 0.6637 0.6601
0.1700 0.3363 0.3399
0.3262 0.8571 0.6523
0.6805 0.5469 0.3610
0.6738 0.1429 0.3477
0.0306 0.2633 0.0612
0.9694 0.7367 0.9388
0.3195 0.4531 0.6390
```

Computed properties:
**Spin magnetization**: 0.500 μB/atom
**ΔE_f (raw)**: -1.209 eV per atom
**VASP energy**: -5.4419 eV per atom

[16]
A relaxed K2RbNpSe4 crystal, computed with PBE.

Geometry as POSCAR:
```
K2RbNpSe4
1.0
4.3775 0.0000 0.0000
0.0000 8.0218 -0.0695
0.0000 2.9251 7.7214
K Rb Np Se
2 1 1 4
direct
0.0000 0.0000 0.0000
0.5000 0.0000 0.5000
0.5000 0.5000 0.0000
0.0000 0.5000 0.5000
0.0000 0.7058 0.6936
0.0000 0.2942 0.3064
0.5000 0.7052 0.2998
0.5000 0.2948 0.7002
```

Computed properties:
**Spin magnetization**: 0.250 μB/atom
**ΔE_f (raw)**: -1.128 eV per atom
**VASP energy**: -4.8836 eV per atom

[17]
A relaxed KRb2NpSe4 crystal, computed with PBE.

Geometry as POSCAR:
```
KRb2NpSe4
1.0
4.3805 0.0000 0.0000
0.0000 8.2660 -0.2928
0.0000 2.7834 7.5448
K Rb Np Se
1 2 1 4
direct
0.5000 0.5000 0.0000
0.0000 0.0000 0.0000
0.5000 0.0000 0.5000
0.0000 0.5000 0.5000
0.0000 0.6968 0.7087
0.0000 0.3032 0.2913
0.5000 0.6930 0.3022
0.5000 0.3070 0.6978
```

Computed properties:
**Spin magnetization**: 0.250 μB/atom
**ΔE_f (raw)**: -1.138 eV per atom
**VASP energy**: -4.8769 eV per atom

[18]
A relaxed K3Np3ReS8 crystal, computed with PBE.

Geometry as POSCAR:
```
K3Np3ReS8
1.0
7.6948 0.0138 0.0220
-3.8353 6.6692 -0.0423
0.0153 -4.4411 7.6755
K Np Re S
3 3 1 8
direct
0.0000 0.0000 0.0000
0.0000 0.5000 0.0000
0.5000 0.5000 0.0000
0.5000 0.0000 0.5000
0.5000 0.5000 0.5000
0.0000 0.5000 0.5000
0.0000 0.0000 0.5000
0.2630 0.5281 0.2911
0.7370 0.4719 0.7089
0.7837 0.5675 0.3111
0.2163 0.4325 0.6889
0.7829 0.0280 0.3108
0.2171 0.9720 0.6892
0.2433 0.0276 0.3108
0.7567 0.9724 0.6892
```

Computed properties:
**Spin magnetization**: 0.162 μB/atom
**ΔE_f (raw)**: -1.115 eV per atom
**VASP energy**: -6.9536 eV per atom

[19]
A relaxed K2NpRhS4 crystal, computed with PBE.

Geometry as POSCAR:
```
K2NpRhS4
1.0
-3.0869 -2.0077 -1.4852
1.4517 -4.9022 3.6094
-4.8887 4.5706 3.9825
K Np Rh S
2 1 1 4
direct
0.5000 0.0000 0.5000
0.0000 0.5000 0.5000
0.5000 0.5000 0.0000
0.0000 0.0000 0.0000
0.5000 0.2083 0.1842
0.5000 0.7917 0.8158
0.0000 0.2468 0.8004
0.0000 0.7532 0.1996
```

Computed properties:
**Spin magnetization**: 0.471 μB/atom
**ΔE_f (raw)**: -1.024 eV per atom
**VASP energy**: -5.8985 eV per atom

[20]
A relaxed K2Np2RhS6 crystal, computed with PBE.

Geometry as POSCAR:
```
K2Np2RhS6
1.0
-5.3329 2.7811 -2.5229
-0.4981 -5.9020 2.7309
0.4540 4.2949 6.6805
K Np Rh S
2 2 1 6
direct
0.8299 0.1701 0.0000
0.1701 0.8299 0.0000
0.3327 0.6673 0.5000
0.6673 0.3327 0.5000
0.0000 0.0000 0.5000
0.7565 0.7565 0.6903
0.0673 0.3796 0.6923
0.2435 0.2435 0.3097
0.3796 0.0673 0.6923
0.9327 0.6204 0.3077
0.6204 0.9327 0.3077
```

Computed properties:
**Spin magnetization**: 0.636 μB/atom
**ΔE_f (raw)**: -1.129 eV per atom
**VASP energy**: -6.6007 eV per atom